# SnWC2F | the Alexandria database | PBE+U | relaxed
# - Uncorrected energy: -4.80 eV per atom
data_SnWC2F
_chemical_formula_sum 'Sn1 W1 C2 F1'
_cell_length_a 4.256
_cell_length_b 4.256
_cell_length_c 4.082
_cell_angle_alpha 90.00
_cell_angle_beta 90.00
_cell_angle_gamma 90.00
_symmetry_space_group_name_H-M 'P 4/m m m'
_symmetry_Int_Tables_number 123
_symmetry_space_group_name_Hall '-P 4 2'
loop_
_atom_site_label
_atom_site_type_symbol
_atom_site_fract_x
_atom_site_fract_y
_atom_site_fract_z
_atom_site_occupancy
Sn1 Sn 0.000 0.000 0.000 1
W1 W 0.500 0.500 0.500 1
C1 C 0.000 0.500 0.000 1
F1 F 0.000 0.000 0.500 1